A relaxed BaCu3P crystal, computed with PBE.

Cell lengths 5.333, 5.333, 5.333 Å; angles 90.00, 90.00, 90.00 degrees
Positions (direct):
P 0.500 0.500 0.500
Ba 0.000 0.000 0.000
Cu 0.000 0.500 0.000
Cu 0.000 0.000 0.500
Cu 0.500 0.000 0.000

Properties
Total magnetization   0.00 μB per formula unit
Offset from the most stable computed form   8.905 eV/f.u.
Energy of formation from the pure elements   1.80 eV/atom
Calculated total energy   -2.123 eV/atom